# BeZnBi3 | Alexandria via LeMat-Bulk | PBE | optimized geometry
# **Excess energy over the best structure of this formula in the dataset**: 0 meV per atom
# **Crystal system**: cubic
# **Total energy**: -2.759 eV/atom
# **DOS at the Fermi energy**: 1.0605 states/eV/atom
# **Volume**: 27.19 Å³ per atom
# **Energy of formation**: 55 kJ per mole of atoms
data_BeZnBi3
_cell_length_a 5.1417
_cell_length_b 5.1417
_cell_length_c 5.1417
_cell_angle_alpha 90.00
_cell_angle_beta 90.00
_cell_angle_gamma 90.00
_symmetry_space_group_name_H-M 'P m -3 m'
_symmetry_Int_Tables_number 221
_symmetry_space_group_name_Hall '-P 4 2 3'
loop_
_atom_site_label
_atom_site_type_symbol
_atom_site_fract_x
_atom_site_fract_y
_atom_site_fract_z
_atom_site_occupancy
Be1 Be 0.0000 0.0000 0.0000 1
Zn1 Zn 0.5000 0.5000 0.5000 1
Bi1 Bi 0.0000 0.0000 0.5000 1